1.
# PmHgAsO | the Open Quantum Materials Database | GGA-PBE | optimized geometry
# Raw total energy (eV/atom): -5.21
# E above lowest polymorph (meV/atom): 0.0
data_PmHgAsO
_cell_length_a 4.187
_cell_length_b 4.187
_cell_length_c 9.214
_cell_angle_alpha 90.00
_cell_angle_beta 90.00
_cell_angle_gamma 90.00
_symmetry_space_group_name_H-M 'P 4/n m m'
_symmetry_Int_Tables_number 129
loop_
_symmetry_equiv_pos_as_xyz
'x,y,z'
'-x,-y,-z'
'-y+1/2,x,z'
'y+1/2,-x,-z'
'-x+1/2,-y+1/2,z'
'x+1/2,y+1/2,-z'
'y,-x+1/2,z'
'-y,x+1/2,-z'
'x+1/2,-y,-z'
'-x+1/2,y,z'
'-y,-x,-z'
'y,x,z'
'-x,y+1/2,-z'
'x,-y+1/2,z'
'y+1/2,x+1/2,-z'
'-y+1/2,-x+1/2,z'
loop_
_atom_site_label
_atom_site_type_symbol
_atom_site_fract_x
_atom_site_fract_y
_atom_site_fract_z
_atom_site_occupancy
Pm1 Pm 0.250 0.250 0.119 1
Hg1 Hg 0.250 0.750 0.500 1
As1 As 0.250 0.250 0.706 1
O1 O 0.250 0.750 0.000 1

***

2.
# TbPrPa | the Open Quantum Materials Database | GGA-PBE | optimized geometry
# Raw total energy (eV/atom): -5.22
# Energy relative to the elements (meV/atom): 1077
# E above lowest polymorph (meV/atom): 0.0
data_TbPrPa
_cell_length_a 7.359
_cell_length_b 7.359
_cell_length_c 7.359
_cell_angle_alpha 90.00
_cell_angle_beta 90.00
_cell_angle_gamma 90.00
_symmetry_space_group_name_H-M 'F -4 3 m'
_symmetry_Int_Tables_number 216
_symmetry_space_group_name_Hall 'F -4 2 3'
loop_
_atom_site_label
_atom_site_type_symbol
_atom_site_fract_x
_atom_site_fract_y
_atom_site_fract_z
_atom_site_occupancy
Tb1 Tb 0.000 0.000 0.000 1
Pr1 Pr 0.250 0.250 0.750 1
Pa1 Pa 0.000 0.000 0.500 1

***

3.
# YFe2GeB | the Open Quantum Materials Database | GGA-PBE | optimized geometry
# Raw total energy (eV/atom): -7.28
data_YFe2GeB
_cell_length_a 3.720
_cell_length_b 3.720
_cell_length_c 10.141
_cell_angle_alpha 90.00
_cell_angle_beta 90.00
_cell_angle_gamma 90.00
_symmetry_space_group_name_H-M 'I 4 m m'
_symmetry_Int_Tables_number 107
_symmetry_space_group_name_Hall 'I 4 -2'
loop_
_atom_site_label
_atom_site_type_symbol
_atom_site_fract_x
_atom_site_fract_y
_atom_site_fract_z
_atom_site_occupancy
Y1 Y 0.000 0.000 0.000 1
Fe1 Fe 0.000 0.500 0.278 1
Ge1 Ge 0.000 0.000 0.634 1
B1 B 0.000 0.000 0.370 1

***

Look up the raw total energy of the second one.
-5.22 eV/atom

***

Which of these has the lowest raw total energy?
YFe2GeB

***

Which of these has the highest raw total energy?
PmHgAsO